This record from Alexandria via LeMat-Bulk describes a geometry-optimized YNi3F structure. The functional is PBE with a Hubbard U.

The value obtained for the total magnetization is 1.88 μB/f.u. The calculation puts the uncorrected energy at -3.081 eV/atom. Its energy relative to the lowest polymorph listed for this composition is 0 meV per atom.

The space group is Pm-3m (No. 221) and the conventional cell measures 4.323, 4.323 and 4.323 Å, with angles of 90.00, 90.00 and 90.00 degrees. The distinct sites, in fractional coordinates, are Y at (0.000, 0.000, 0.000), Ni at (0.000, 0.500, 0.500) and F at (0.500, 0.500, 0.500).